Entry 1:
First-principles (PBE-GGA) data for a geometry-optimized BePtOF2 structure, as listed in Alexandria via LeMat-Bulk.

Unit cell a=4.389 b=4.389 c=3.818 alpha=90.00 beta=90.00 gamma=90.00
Space group P4/mmm (No. 123)
Unique sites:
Be 0.000 0.000 0.000
Pt 0.500 0.500 0.500
O 0.500 0.500 0.000
F 0.000 0.500 0.500

Results
Total DFT energy (no corrections)   -3.793 eV/atom
Distance to the lowest polymorph of the same formula   1.258 eV per atom
Density of states at the Fermi level   0.609 states/eV per atom
Formation energy from raw total energies   -0.099 eV/atom

Entry 2:
First-principles (PBE-GGA) data for a geometry-optimized Li3HgAu structure, as listed in Alexandria via LeMat-Bulk.

Unit cell a=12.117 b=9.831 c=5.996 alpha=90.00 beta=90.00 gamma=90.00
Space group Cmce (No. 64)
Unique sites:
Li 0.000 0.094 0.179
Li 0.150 0.215 0.898
Hg 0.250 0.040 0.250
Au 0.000 0.135 0.614

Results
DFT formation energy   -159 kJ/mol of formula units
Total DFT energy (no corrections)   -2.194 eV/atom
Distance to the lowest polymorph of the same formula   0.083 eV per atom
Density of states at the Fermi level   0.281 states/eV per atom

Entry 3:
First-principles (PBE-GGA) data for a geometry-optimized RbBi2HRu structure, as listed in Alexandria via LeMat-Bulk.

Unit cell a=5.735 b=5.735 c=3.609 alpha=90.00 beta=90.00 gamma=90.00
Space group P4/mmm (No. 123)
Unique sites:
Rb 0.000 0.000 0.000
Bi 0.000 0.500 0.500
H 0.500 0.500 0.000
Ru 0.500 0.500 0.500

Results
Total DFT energy (no corrections)   -3.855 eV/atom
Density of states at the Fermi level   1.072 states/eV per atom

Entry 4:
First-principles (PBE-GGA) data for a geometry-optimized CoTcPt3 structure, as listed in Alexandria via LeMat-Bulk.

Unit cell a=4.547 b=4.547 c=4.547 alpha=90.00 beta=90.00 gamma=90.00
Space group Pm-3m (No. 221)
Unique sites:
Co 0.000 0.000 0.000
Tc 0.500 0.500 0.500
Pt 0.000 0.000 0.500

Results
DFT formation energy   580 kJ/mol of formula units
Total DFT energy (no corrections)   -5.917 eV/atom
Distance to the lowest polymorph of the same formula   0.000 eV per atom
Density of states at the Fermi level   1.087 states/eV per atom

Entry 5:
First-principles (PBE-GGA) data for a geometry-optimized SmGdDyHg structure, as listed in Alexandria via LeMat-Bulk.

Unit cell a=7.718 b=7.718 c=7.718 alpha=90.00 beta=90.00 gamma=90.00
Space group F-43m (No. 216)
Unique sites:
Sm 0.000 0.000 0.000
Gd 0.000 0.000 0.500
Dy 0.250 0.250 0.750
Hg 0.250 0.250 0.250

Results
DFT formation energy   -27 kJ/mol of formula units
Total DFT energy (no corrections)   -5.996 eV/atom
Density of states at the Fermi level   1.339 states/eV per atom

Entry 6:
First-principles (PBE-GGA) data for a geometry-optimized KRh2I structure, as listed in Alexandria via LeMat-Bulk.

Unit cell a=5.122 b=5.122 c=17.557 alpha=90.00 beta=90.00 gamma=90.00
Space group I-42d (No. 122)
Unique sites:
K 0.000 0.000 0.000
Rh 0.065 0.250 0.625
I 0.000 0.000 0.500

Results
Total DFT energy (no corrections)   -4.071 eV/atom
Distance to the lowest polymorph of the same formula   0.000 eV per atom
Density of states at the Fermi level   1.198 states/eV per atom
Formation energy from raw total energies   0.267 eV/atom

Entry 7:
First-principles (PBE-GGA) data for a geometry-optimized AlPPd4 structure, as listed in Alexandria via LeMat-Bulk.

Unit cell a=6.612 b=3.426 c=15.575 alpha=90.00 beta=90.00 gamma=90.00
Space group Pnma (No. 62)
Unique sites:
Al 0.239 0.250 0.191
P 0.248 0.750 0.441
Pd 0.020 0.750 0.568
Pd 0.041 0.750 0.286
Pd 0.129 0.750 0.054
Pd 0.131 0.750 0.846

Results
DFT formation energy   -375 kJ/mol of formula units
Total DFT energy (no corrections)   -5.634 eV/atom
Distance to the lowest polymorph of the same formula   0.007 eV per atom
Density of states at the Fermi level   0.194 states/eV per atom

Entry 8:
First-principles (PBE-GGA) data for a geometry-optimized Th6P2OsS3 structure, as listed in Alexandria via LeMat-Bulk.

Unit cell a=17.946 b=4.083 c=8.288 alpha=90.00 beta=102.76 gamma=90.00
Space group C2/m (No. 12)
Unique sites:
Th 0.001 0.000 0.238
Th 0.165 0.500 0.085
Th 0.168 0.500 0.581
P 0.167 0.000 0.335
Os 0.000 0.500 0.000
S 0.000 0.500 0.500
S 0.168 0.000 0.833

Results
Total DFT energy (no corrections)   -8.061 eV/atom
Density of states at the Fermi level   0.686 states/eV per atom
Formation energy from raw total energies   -1.482 eV/atom

Entry 9:
First-principles (PBE-GGA) data for a geometry-optimized DyInCoAu structure, as listed in Alexandria via LeMat-Bulk.

Unit cell a=6.784 b=6.784 c=6.784 alpha=90.00 beta=90.00 gamma=90.00
Space group F-43m (No. 216)
Unique sites:
Dy 0.000 0.000 0.000
In 0.000 0.000 0.500
Co 0.250 0.250 0.250
Au 0.250 0.250 0.750

Results
DFT formation energy   -120 kJ/mol of formula units
Total DFT energy (no corrections)   -4.742 eV/atom
Density of states at the Fermi level   0.596 states/eV per atom

Entry 10:
First-principles (PBE-GGA) data for a geometry-optimized Ta2AlFe structure, as listed in Alexandria via LeMat-Bulk.

Unit cell a=4.029 b=4.029 c=3.876 alpha=90.00 beta=90.00 gamma=90.00
Space group P4/mmm (No. 123)
Unique sites:
Ta 0.000 0.500 0.000
Al 0.000 0.000 0.500
Fe 0.500 0.500 0.500

Results
DFT formation energy   -33 kJ/mol of formula units
Total DFT energy (no corrections)   -9.062 eV/atom
Density of states at the Fermi level   0.903 states/eV per atom

Entry 11:
First-principles (PBE-GGA) data for a geometry-optimized Tl8AgBi2 structure, as listed in Alexandria via LeMat-Bulk.

Unit cell a=15.443 b=6.993 c=6.856 alpha=90.00 beta=105.53 gamma=90.00
Space group C2/m (No. 12)
Unique sites:
Tl 0.068 0.231 0.238
Tl 0.150 0.000 0.819
Tl 0.229 0.500 0.545
Ag 0.000 0.500 0.500
Bi 0.132 0.500 0.905

Results
DFT formation energy   55 kJ/mol of formula units
Total DFT energy (no corrections)   -2.634 eV/atom
Density of states at the Fermi level   0.381 states/eV per atom

Entry 12:
First-principles (PBE-GGA) data for a geometry-optimized TlGeTe2I structure, as listed in Alexandria via LeMat-Bulk.

Unit cell a=5.763 b=5.763 c=5.975 alpha=90.00 beta=90.00 gamma=90.00
Space group P4/mmm (No. 123)
Unique sites:
Tl 0.000 0.000 0.000
Ge 0.500 0.500 0.500
Te 0.000 0.500 0.000
I 0.000 0.000 0.500

Results
Total DFT energy (no corrections)   -2.312 eV/atom
Distance to the lowest polymorph of the same formula   0.628 eV per atom
Density of states at the Fermi level   0.662 states/eV per atom
Formation energy from raw total energies   0.651 eV/atom

Entry 13:
First-principles (PBE-GGA) data for a geometry-optimized Ta4AuBr structure, as listed in Alexandria via LeMat-Bulk.

Unit cell a=7.828 b=7.828 c=7.828 alpha=90.00 beta=90.00 gamma=90.00
Space group F-43m (No. 216)
Unique sites:
Ta 0.124 0.124 0.124
Au 0.250 0.250 0.750
Br 0.000 0.000 0.500

Results
Total DFT energy (no corrections)   -7.964 eV/atom
Density of states at the Fermi level   0.838 states/eV per atom
Formation energy from raw total energies   0.763 eV/atom